1.
Compound: Pm6AsBr8
Source: Alexandria via LeMat-Bulk
Functional: PBE
Structure: optimized geometry

Summary:
Its density of states at the Fermi level is 3.63 states/eV/f.u. The value obtained for the calculated volume is 496.16 Å³/f.u. For the calculated total energy, the calculation gives -0.170 Ha/atom. The formation energy from raw total energies is -1.527 eV/atom.

```
data_Pm6AsBr8
_space_group_name_H-M_alt 'R -3'
_space_group_IT_number 148
_space_group_name_Hall '-R 3'
_cell_length_a 7.3491
_cell_length_b 7.3491
_cell_length_c 31.8231
_cell_angle_alpha 90.00
_cell_angle_beta 90.00
_cell_angle_gamma 120.00
loop_
_atom_site_label
_atom_site_type_symbol
_atom_site_fract_x
_atom_site_fract_y
_atom_site_fract_z
Pm1 Pm 0.0000 0.3108 0.4494
As1 As 0.0000 0.0000 0.5000
Br1 Br 0.0000 0.0000 0.1667
Br2 Br 0.0000 0.3381 0.6066
```


2.
Compound: PmAsBr
Source: Alexandria via LeMat-Bulk
Functional: PBE
Structure: optimized geometry

Summary:
The value obtained for the calculated volume is 107.78 Å³/f.u. For the calculated total energy, the calculation gives -0.182 Ha/atom. The formation energy from raw total energies is -1.266 eV/atom.

```
data_PmAsBr
_space_group_name_H-M_alt 'P 1 21/c 1'
_space_group_IT_number 14
_space_group_name_Hall '-P 2ybc'
_cell_length_a 7.8592
_cell_length_b 7.6928
_cell_length_c 7.8595
_cell_angle_alpha 90.00
_cell_angle_beta 114.87
_cell_angle_gamma 90.00
loop_
_atom_site_label
_atom_site_type_symbol
_atom_site_fract_x
_atom_site_fract_y
_atom_site_fract_z
Pm1 Pm 0.0549 0.2146 0.2374
As1 As 0.1668 0.5496 0.0625
Br1 Br 0.2508 0.0380 0.0461
```


3.
Compound: Pm6As5Br
Source: Alexandria via LeMat-Bulk
Functional: PBE
Structure: optimized geometry

Summary:
Its density of states at the Fermi level is 2.66 states/eV/f.u. The value obtained for the calculated volume is 325.10 Å³/f.u. For the calculated total energy, the calculation gives -0.220 Ha/atom. The formation energy from raw total energies is -1.540 eV/atom.

```
data_Pm6As5Br
_space_group_name_H-M_alt 'C 1 2/m 1'
_space_group_IT_number 12
_space_group_name_Hall '-C 2y'
_cell_length_a 7.3724
_cell_length_b 12.7420
_cell_length_c 7.3433
_cell_angle_alpha 90.00
_cell_angle_beta 109.51
_cell_angle_gamma 90.00
loop_
_atom_site_label
_atom_site_type_symbol
_atom_site_fract_x
_atom_site_fract_y
_atom_site_fract_z
Pm1 Pm 0.2364 0.0000 0.2589
Pm2 Pm 0.2383 0.1752 0.7412
As1 As 0.0000 0.0000 0.5000
As2 As 0.0000 0.1673 0.0000
As3 As 0.0000 0.3380 0.5000
Br1 Br 0.0000 0.5000 0.0000
```


4.
Compound: PmAs2Br8
Source: Alexandria via LeMat-Bulk
Functional: PBE
Structure: optimized geometry

Summary:
Its density of states at the Fermi level is 4.72 states/eV/f.u. The value obtained for the calculated volume is 468.90 Å³/f.u. For the calculated total energy, the calculation gives -0.120 Ha/atom. The formation energy from raw total energies is -0.778 eV/atom.

```
data_PmAs2Br8
_space_group_name_H-M_alt 'C 1 2/m 1'
_space_group_IT_number 12
_space_group_name_Hall '-C 2y'
_cell_length_a 13.2471
_cell_length_b 9.9289
_cell_length_c 7.5335
_cell_angle_alpha 90.00
_cell_angle_beta 108.84
_cell_angle_gamma 90.00
loop_
_atom_site_label
_atom_site_type_symbol
_atom_site_fract_x
_atom_site_fract_y
_atom_site_fract_z
Pm1 Pm 0.0000 0.0000 0.0000
As1 As 0.1577 0.0000 0.5951
Br1 Br 0.0708 0.1940 0.7856
Br2 Br 0.1687 0.5000 0.1975
Br3 Br 0.2126 0.0000 0.2937
```


5.
Compound: Pm8As6Br
Source: Alexandria via LeMat-Bulk
Functional: PBE
Structure: optimized geometry

Summary:
Its density of states at the Fermi level is 10.73 states/eV/f.u. The value obtained for the calculated volume is 473.71 Å³/f.u. For the calculated total energy, the calculation gives -0.210 Ha/atom. The formation energy from raw total energies is -1.204 eV/atom.

```
data_Pm8As6Br
_space_group_name_H-M_alt 'P -3'
_space_group_IT_number 147
_space_group_name_Hall '-P 3'
_cell_length_a 11.2084
_cell_length_b 11.2084
_cell_length_c 4.3541
_cell_angle_alpha 90.00
_cell_angle_beta 90.00
_cell_angle_gamma 120.00
loop_
_atom_site_label
_atom_site_type_symbol
_atom_site_fract_x
_atom_site_fract_y
_atom_site_fract_z
Pm1 Pm 0.0366 0.3688 0.2556
Pm2 Pm 0.3333 0.6667 0.7468
As1 As 0.1425 0.6666 0.2454
Br1 Br 0.0000 0.0000 0.5000
```


6.
Compound: Pm5As4Br
Source: Alexandria via LeMat-Bulk
Functional: PBE
Structure: optimized geometry

Summary:
Its density of states at the Fermi level is 3.11 states/eV/f.u. The value obtained for the calculated volume is 270.85 Å³/f.u. For the calculated total energy, the calculation gives -0.217 Ha/atom. The formation energy from raw total energies is -1.505 eV/atom.

```
data_Pm5As4Br
_space_group_name_H-M_alt 'I m m m'
_space_group_IT_number 71
_space_group_name_Hall '-I 2 2'
_cell_length_a 4.2464
_cell_length_b 5.9838
_cell_length_c 21.3184
_cell_angle_alpha 90.00
_cell_angle_beta 90.00
_cell_angle_gamma 90.00
loop_
_atom_site_label
_atom_site_type_symbol
_atom_site_fract_x
_atom_site_fract_y
_atom_site_fract_z
Pm1 Pm 0.0000 0.0000 0.0000
Pm2 Pm 0.0000 0.0000 0.1990
Pm3 Pm 0.0000 0.0000 0.3883
As1 As 0.0000 0.5000 0.2020
As2 As 0.0000 0.5000 0.4022
Br1 Br 0.0000 0.5000 0.0000
```


7.
Compound: Pm3As2Br
Source: Alexandria via LeMat-Bulk
Functional: PBE
Structure: optimized geometry

Summary:
Its density of states at the Fermi level is 3.67 states/eV/f.u. The value obtained for the calculated volume is 192.28 Å³/f.u. For the calculated total energy, the calculation gives -0.197 Ha/atom. The formation energy from raw total energies is -1.144 eV/atom.

```
data_Pm3As2Br
_space_group_name_H-M_alt 'C m c m'
_space_group_IT_number 63
_space_group_name_Hall '-C 2c 2'
_cell_length_a 4.2470
_cell_length_b 15.3515
_cell_length_c 11.7968
_cell_angle_alpha 90.00
_cell_angle_beta 90.00
_cell_angle_gamma 90.00
loop_
_atom_site_label
_atom_site_type_symbol
_atom_site_fract_x
_atom_site_fract_y
_atom_site_fract_z
Pm1 Pm 0.0000 0.0106 0.2500
Pm2 Pm 0.0000 0.3689 0.5091
As1 As 0.0000 0.0000 0.0000
As2 As 0.0000 0.3583 0.7500
Br1 Br 0.0000 0.3613 0.2500
```


8.
Compound: Pm7AsBr12
Source: Alexandria via LeMat-Bulk
Functional: PBE
Structure: optimized geometry

Summary:
Its density of states at the Fermi level is 3.97 states/eV/f.u. The value obtained for the calculated volume is 675.11 Å³/f.u. For the calculated total energy, the calculation gives -0.169 Ha/atom. The formation energy from raw total energies is -1.709 eV/atom.

```
data_Pm7AsBr12
_space_group_name_H-M_alt 'R -3'
_space_group_IT_number 148
_space_group_name_Hall '-R 3'
_cell_length_a 15.2123
_cell_length_b 15.2123
_cell_length_c 10.1059
_cell_angle_alpha 90.00
_cell_angle_beta 90.00
_cell_angle_gamma 120.00
loop_
_atom_site_label
_atom_site_type_symbol
_atom_site_fract_x
_atom_site_fract_y
_atom_site_fract_z
Pm1 Pm 0.0000 0.0000 0.0000
Pm2 Pm 0.0461 0.1682 0.3446
As1 As 0.0000 0.0000 0.5000
Br1 Br 0.0241 0.5864 0.1643
Br2 Br 0.0491 0.1797 0.8392
```


9.
Compound: Pm4AsBr5
Source: Alexandria via LeMat-Bulk
Functional: PBE
Structure: optimized geometry

Summary:
Its density of states at the Fermi level is 3.37 states/eV/f.u. The value obtained for the calculated volume is 320.62 Å³/f.u. For the calculated total energy, the calculation gives -0.177 Ha/atom. The formation energy from raw total energies is -1.619 eV/atom.

```
data_Pm4AsBr5
_space_group_name_H-M_alt 'C 1 2/m 1'
_space_group_IT_number 12
_space_group_name_Hall '-C 2y'
_cell_length_a 18.5246
_cell_length_b 4.1430
_cell_length_c 8.5752
_cell_angle_alpha 90.00
_cell_angle_beta 103.01
_cell_angle_gamma 90.00
loop_
_atom_site_label
_atom_site_type_symbol
_atom_site_fract_x
_atom_site_fract_y
_atom_site_fract_z
Pm1 Pm 0.0002 0.0000 0.2250
Pm2 Pm 0.1533 0.5000 0.0806
As1 As 0.0000 0.5000 0.0000
Br1 Br 0.0000 0.5000 0.5000
Br2 Br 0.1666 0.0000 0.3340
Br3 Br 0.1715 0.0000 0.8343
```


10.
Compound: PmPrAsBr
Source: Alexandria via LeMat-Bulk
Functional: PBE
Structure: optimized geometry

Summary:
Its density of states at the Fermi level is 2.82 states/eV/f.u. The value obtained for the calculated volume is 100.71 Å³/f.u. The calculation puts the polymorph energy (0 for the lowest one) at 204 meV per atom. For the calculated total energy, the calculation gives -0.190 Ha/atom. The formation energy from raw total energies is -1.214 eV/atom.

```
data_PmPrAsBr
_space_group_name_H-M_alt 'F -4 3 m'
_space_group_IT_number 216
_space_group_name_Hall 'F -4 2 3'
_cell_length_a 7.3855
_cell_length_b 7.3855
_cell_length_c 7.3855
_cell_angle_alpha 90.00
_cell_angle_beta 90.00
_cell_angle_gamma 90.00
loop_
_atom_site_label
_atom_site_type_symbol
_atom_site_fract_x
_atom_site_fract_y
_atom_site_fract_z
Pm1 Pm 0.0000 0.0000 0.0000
Pr1 Pr 0.0000 0.0000 0.5000
As1 As 0.2500 0.2500 0.2500
Br1 Br 0.2500 0.2500 0.7500
```


> Number 2 is which compound?

PmAsBr


> Number 8 is which compound?

Pm7AsBr12


> Number 1 is which compound?

Pm6AsBr8


What did the second record say?
Compound: PmAsBr
Source: Alexandria via LeMat-Bulk
Functional: PBE
Structure: optimized geometry

Summary:
The value obtained for the calculated volume is 107.78 Å³/f.u. For the calculated total energy, the calculation gives -0.182 Ha/atom. The formation energy from raw total energies is -1.266 eV/atom.

```
data_PmAsBr
_space_group_name_H-M_alt 'P 1 21/c 1'
_space_group_IT_number 14
_space_group_name_Hall '-P 2ybc'
_cell_length_a 7.8592
_cell_length_b 7.6928
_cell_length_c 7.8595
_cell_angle_alpha 90.00
_cell_angle_beta 114.87
_cell_angle_gamma 90.00
loop_
_atom_site_label
_atom_site_type_symbol
_atom_site_fract_x
_atom_site_fract_y
_atom_site_fract_z
Pm1 Pm 0.0549 0.2146 0.2374
As1 As 0.1668 0.5496 0.0625
Br1 Br 0.2508 0.0380 0.0461
```